The following is a GGA-PBE calculation of a geometry-optimized La2PuUP4 structure, from Alexandria.

The calculation puts the formation energy at -1.299 eV/atom. The density of states at the Fermi level comes out at 15.96 states/eV/cell.

The structure belongs to space group P2/m (No. 10); the cell edges are 7.100, 4.094 and 7.164 Å and the angles 90.00°, 109.20° and 90.00°. The distinct sites, in fractional coordinates, are La at (0.000, 0.000, 0.000), La at (0.500, 0.500, 0.000), Pu at (0.000, 0.500, 0.500), U at (0.500, 0.000, 0.500), P at (0.248, 0.000, 0.727) and P at (0.262, 0.500, 0.273).